1.
Entry from the Alexandria database: a relaxed Mg4SiOs crystal (PBE).

The calculation puts the calculated total energy at -3.272 eV/atom. As for the spin magnetization: 0.00 μB/cell. The calculation puts the formation energy (no corrections) at 3.397 eV per formula unit. Its theoretical density is 4.97 g/cm3. The density of states at the Fermi level comes out at 3.10 states/eV/f.u.

The space group is F-43m (No. 216) and the conventional cell measures 7.498, 7.498 and 7.498 Å, with angles of 90.00, 90.00 and 90.00 degrees. The inequivalent atoms are Mg at (0.124, 0.124, 0.124), Si at (0.000, 0.000, 0.500) and Os at (0.250, 0.250, 0.750).

***

2.
Entry from the Alexandria database: a relaxed Mg2SiOs crystal (PBE).

The calculation puts the calculated total energy at -4.893 eV/atom. As for the spin magnetization: 0.00 μB/cell. The calculation puts the formation energy (no corrections) at 0.269 eV per formula unit. Its theoretical density is 7.19 g/cm3. The density of states at the Fermi level comes out at 2.63 states/eV/f.u.

The space group is I4/mmm (No. 139) and the conventional cell measures 3.778, 3.778 and 8.639 Å, with angles of 90.00, 90.00 and 90.00 degrees. The inequivalent atoms are Mg at (0.000, 0.500, 0.250), Si at (0.000, 0.000, 0.000) and Os at (0.000, 0.000, 0.500).